(1)
First-principles (PBE) data for an optimized crystal structure of ZnNiIr, as listed in Alexandria.

Cell lengths 4.181, 4.181, 2.609 Å; angles 90.00, 90.00, 120.00 degrees
Fractional positions:
1 Ir 0.000 0.000 0.999
2 Ni 0.667 0.333 0.493
3 Zn 0.333 0.667 0.508

- Final energy: -0.3888 Ry/atom
- DFT formation energy: 0.0157 eV per atom
- Excess energy over the best structure of this formula in the dataset: 0.161 eV per atom

***

(2)
First-principles (PBE) data for an optimized crystal structure of NaSmSiHg, as listed in Alexandria.

Cell lengths 5.128, 5.128, 5.128 Å; angles 60.00, 60.00, 60.00 degrees
Fractional positions:
1 Na 0.500 0.500 0.500
2 Si 0.750 0.750 0.750
3 Hg 0.250 0.250 0.250
4 Sm 0.000 0.000 0.000

- Final energy: -0.2366 Ry/atom
- ΔE_f (raw): -0.28 eV/atom

***

(3)
First-principles (PBE) data for an optimized crystal structure of TlCrGaTe4, as listed in Alexandria.

Cell lengths 7.119, 7.311, 11.005 Å; angles 90.00, 128.64, 90.00 degrees
Fractional positions:
1 Tl 0.686 0.750 0.930
2 Tl 0.314 0.250 0.070
3 Cr 0.796 0.750 0.456
4 Cr 0.204 0.250 0.544
5 Ga 0.174 0.750 0.333
6 Ga 0.826 0.250 0.667
7 Te 0.122 0.504 0.693
8 Te 0.878 0.004 0.307
9 Te 0.878 0.496 0.307
10 Te 0.122 0.996 0.693
11 Te 0.326 0.750 0.168
12 Te 0.674 0.250 0.832
13 Te 0.602 0.750 0.600
14 Te 0.398 0.250 0.400

- Final energy: -0.2995 Ry/atom
- ΔE_f (raw): -0.13 eV/atom

***

Repeat the first record exactly.
First-principles (PBE) data for an optimized crystal structure of ZnNiIr, as listed in Alexandria.

Cell lengths 4.181, 4.181, 2.609 Å; angles 90.00, 90.00, 120.00 degrees
Fractional positions:
1 Ir 0.000 0.000 0.999
2 Ni 0.667 0.333 0.493
3 Zn 0.333 0.667 0.508

- Final energy: -0.3888 Ry/atom
- DFT formation energy: 0.0157 eV per atom
- Excess energy over the best structure of this formula in the dataset: 0.161 eV per atom